[1]
First-principles (GGA-PBE) data for a relaxed Ce2Si6Pt21 crystal, as listed in Alexandria.

CIF file:
```
data_Ce2Si6Pt21
_chemical_formula_sum 'Ce2 Si6 Pt21'
_cell_length_a 8.737
_cell_length_b 8.737
_cell_length_c 8.737
_cell_angle_alpha 60.00
_cell_angle_beta 60.00
_cell_angle_gamma 60.00
_space_group_name_H-M_alt 'P 1'
_space_group_IT_number 1
loop_
_space_group_symop_operation_xyz
'x,y,z'
loop_
_atom_site_label
_atom_site_fract_x
_atom_site_fract_y
_atom_site_fract_z
Ce1 0.750 0.750 0.750
Si1 0.264 0.736 0.736
Pt1 0.346 0.000 0.000
Pt2 0.654 0.346 0.000
Pt3 0.153 0.616 0.616
Pt4 0.384 0.847 0.384
Si2 0.264 0.736 0.264
Pt5 0.616 0.616 0.153
Pt6 0.000 0.000 0.000
Pt7 0.000 0.346 0.000
Pt8 0.000 0.000 0.346
Pt9 0.616 0.153 0.616
Pt10 0.346 0.654 0.000
Si3 0.736 0.736 0.264
Ce2 0.250 0.250 0.250
Pt11 0.384 0.384 0.847
Si4 0.736 0.264 0.264
Pt12 0.000 0.654 0.000
Si5 0.736 0.264 0.736
Si6 0.264 0.264 0.736
Pt13 0.616 0.616 0.616
Pt14 0.000 0.654 0.346
Pt15 0.654 0.000 0.000
Pt16 0.847 0.384 0.384
Pt17 0.000 0.346 0.654
Pt18 0.384 0.384 0.384
Pt19 0.654 0.000 0.346
Pt20 0.000 0.000 0.654
Pt21 0.346 0.000 0.654
```

## Properties
Volume (Å³ per atom): 16.26
DOS(E_F) (states/eV/f.u.): 18.2
Total moment (μB/f.u.): 0.00
SG: Fm-3m
Uncorrected formation energy (meV per atom): -667.3


[2]
First-principles (GGA-PBE) data for a relaxed Zr3VCr crystal, as listed in Alexandria.

CIF file:
```
data_Zr3VCr
_chemical_formula_sum 'Zr3 V1 Cr1'
_cell_length_a 4.879
_cell_length_b 4.879
_cell_length_c 4.879
_cell_angle_alpha 90.00
_cell_angle_beta 90.00
_cell_angle_gamma 90.00
_space_group_name_H-M_alt 'P 1'
_space_group_IT_number 1
loop_
_space_group_symop_operation_xyz
'x,y,z'
loop_
_atom_site_label
_atom_site_fract_x
_atom_site_fract_y
_atom_site_fract_z
V1 0.000 0.000 0.000
Zr1 0.000 0.500 0.000
Zr2 0.000 0.000 0.500
Zr3 0.500 0.000 0.000
Cr1 0.500 0.500 0.500
```

## Properties
DFT formation energy (kJ per mole of atoms): 82.7
Volume (Å³ per atom): 23.23
DOS(E_F) (states/eV/f.u.): 7.0
Energy relative to the lowest polymorph listed for this composition (kJ/mol of formula units): 42
Total moment (μB/f.u.): 3.19
SG: Pm-3m


[3]
First-principles (GGA-PBE) data for a relaxed CdHg2W crystal, as listed in Alexandria.

CIF file:
```
data_CdHg2W
_chemical_formula_sum 'Cd1 Hg2 W1'
_cell_length_a 2.908
_cell_length_b 2.908
_cell_length_c 9.719
_cell_angle_alpha 90.00
_cell_angle_beta 90.00
_cell_angle_gamma 90.00
_space_group_name_H-M_alt 'P 1'
_space_group_IT_number 1
loop_
_space_group_symop_operation_xyz
'x,y,z'
loop_
_atom_site_label
_atom_site_fract_x
_atom_site_fract_y
_atom_site_fract_z
Hg1 0.500 0.500 0.276
W1 0.000 0.000 0.503
Cd1 0.500 0.500 0.726
Hg2 0.000 0.000 0.995
```

## Properties
DFT formation energy (kJ per mole of atoms): 52.7
Volume (Å³ per atom): 20.54
DOS(E_F) (states/eV/f.u.): 1.9
Total moment (μB/f.u.): 0.00
SG: P4mm


[4]
First-principles (GGA-PBE) data for a relaxed Ca4TbU3As8 crystal, as listed in Alexandria.

CIF file:
```
data_Ca4TbU3As8
_chemical_formula_sum 'Ca4 Tb1 U3 As8'
_cell_length_a 8.335
_cell_length_b 8.371
_cell_length_c 8.335
_cell_angle_alpha 119.86
_cell_angle_beta 120.00
_cell_angle_gamma 90.00
_space_group_name_H-M_alt 'P 1'
_space_group_IT_number 1
loop_
_space_group_symop_operation_xyz
'x,y,z'
loop_
_atom_site_label
_atom_site_fract_x
_atom_site_fract_y
_atom_site_fract_z
As1 0.247 0.731 0.984
As2 0.753 0.269 0.016
U1 0.000 0.500 0.500
As3 0.744 0.731 0.487
As4 0.247 0.731 0.494
As5 0.753 0.269 0.506
As6 0.263 0.269 0.016
U2 0.500 0.500 0.000
Ca1 0.500 0.000 0.500
Ca2 0.000 0.000 0.500
U3 0.500 0.500 0.500
Ca3 0.000 0.000 0.000
As7 0.737 0.731 0.984
Ca4 0.500 0.000 0.000
As8 0.256 0.269 0.513
Tb1 0.000 0.500 0.000
```

## Properties
DFT formation energy (kJ per mole of atoms): -102.8
Volume (Å³ per atom): 25.76
DOS(E_F) (states/eV/f.u.): 20.2
Total moment (μB/f.u.): 5.00
SG: R-3m


[5]
First-principles (GGA-PBE) data for a relaxed K2ScRh crystal, as listed in Alexandria.

CIF file:
```
data_K2ScRh
_chemical_formula_sum 'K2 Sc1 Rh1'
_cell_length_a 4.494
_cell_length_b 4.494
_cell_length_c 9.930
_cell_angle_alpha 78.51
_cell_angle_beta 78.51
_cell_angle_gamma 53.49
_space_group_name_H-M_alt 'P 1'
_space_group_IT_number 1
loop_
_space_group_symop_operation_xyz
'x,y,z'
loop_
_atom_site_label
_atom_site_fract_x
_atom_site_fract_y
_atom_site_fract_z
K1 0.192 0.192 0.332
K2 0.027 0.027 0.918
Sc1 0.801 0.801 0.625
Rh1 0.479 0.479 0.625
```

## Properties
DFT formation energy (kJ per mole of atoms): 7.0
Volume (Å³ per atom): 39.29
DOS(E_F) (states/eV/f.u.): 3.2
Energy relative to the lowest polymorph listed for this composition (kJ/mol of formula units): 43
Total moment (μB/f.u.): 0.00
SG: Cm


[6]
First-principles (GGA-PBE) data for a relaxed Cs2NiSnS4 crystal, as listed in Alexandria.

CIF file:
```
data_Cs2NiSnS4
_chemical_formula_sum 'Cs4 Ni2 Sn2 S8'
_cell_length_a 6.608
_cell_length_b 7.001
_cell_length_c 13.765
_cell_angle_alpha 83.49
_cell_angle_beta 76.11
_cell_angle_gamma 61.84
_space_group_name_H-M_alt 'P 1'
_space_group_IT_number 1
loop_
_space_group_symop_operation_xyz
'x,y,z'
loop_
_atom_site_label
_atom_site_fract_x
_atom_site_fract_y
_atom_site_fract_z
Sn1 0.000 0.000 0.000
S1 0.275 0.110 0.888
S2 0.475 0.390 0.612
Ni1 0.250 0.500 0.500
Ni2 0.500 0.000 0.000
Cs1 0.573 0.500 0.853
S3 0.837 0.890 0.888
Cs2 0.927 0.500 0.147
Cs3 0.823 0.000 0.353
S4 0.913 0.610 0.612
S5 0.615 0.110 0.112
Cs4 0.177 0.000 0.647
S6 0.477 0.610 0.388
S7 0.273 0.890 0.112
S8 0.135 0.390 0.388
Sn2 0.750 0.500 0.500
```

## Properties
Volume (Å³ per atom): 34.06
Total moment (μB/f.u.): 0.00
SG: Fddd
Uncorrected formation energy (meV per atom): -678.3


[7]
First-principles (GGA-PBE) data for a relaxed Ta2CoNi2 crystal, as listed in Alexandria.

CIF file:
```
data_Ta2CoNi2
_chemical_formula_sum 'Ta4 Co2 Ni4'
_cell_length_a 6.619
_cell_length_b 6.619
_cell_length_c 3.180
_cell_angle_alpha 90.00
_cell_angle_beta 90.00
_cell_angle_gamma 90.00
_space_group_name_H-M_alt 'P 1'
_space_group_IT_number 1
loop_
_space_group_symop_operation_xyz
'x,y,z'
loop_
_atom_site_label
_atom_site_fract_x
_atom_site_fract_y
_atom_site_fract_z
Co1 0.500 0.500 0.000
Ta1 0.322 0.178 0.500
Ni1 0.626 0.126 0.000
Ta2 0.678 0.822 0.500
Ni2 0.126 0.374 0.000
Ta3 0.822 0.322 0.500
Ni3 0.374 0.874 0.000
Ta4 0.178 0.678 0.500
Co2 0.000 0.000 0.000
Ni4 0.874 0.626 0.000
```

## Properties
DFT formation energy (kJ per mole of atoms): -12.6
Volume (Å³ per atom): 13.93
DOS(E_F) (states/eV/f.u.): 2.5
Energy relative to the lowest polymorph listed for this composition (kJ/mol of formula units): 15
Total moment (μB/f.u.): 0.24
SG: P4/mbm


[8]
First-principles (GGA-PBE) data for a relaxed SrTaB2 crystal, as listed in Alexandria.

CIF file:
```
data_SrTaB2
_chemical_formula_sum 'Sr2 Ta2 B4'
_cell_length_a 5.263
_cell_length_b 5.263
_cell_length_c 7.477
_cell_angle_alpha 69.39
_cell_angle_beta 69.39
_cell_angle_gamma 90.00
_space_group_name_H-M_alt 'P 1'
_space_group_IT_number 1
loop_
_space_group_symop_operation_xyz
'x,y,z'
loop_
_atom_site_label
_atom_site_fract_x
_atom_site_fract_y
_atom_site_fract_z
B1 0.986 0.625 0.250
B2 0.764 0.125 0.250
Sr1 0.250 0.750 0.500
Ta1 0.750 0.250 0.500
Ta2 0.000 0.000 0.000
B3 0.875 0.014 0.750
Sr2 0.500 0.500 0.000
B4 0.375 0.236 0.750
```

## Properties
DFT formation energy (kJ per mole of atoms): 74.4
Volume (Å³ per atom): 22.46
DOS(E_F) (states/eV/f.u.): 2.3
Energy relative to the lowest polymorph listed for this composition (kJ/mol of formula units): 0
Total moment (μB/f.u.): 0.00
SG: I-42d


no.,density (Mg/m³),VASP energy (eV per cell)
1,16.00,-190.61
2,5.38,-40.10
3,14.09,-12.29
4,6.58,-100.75
5,2.39,-15.59
6,3.48,-66.85
7,12.83,-86.05
8,5.36,-47.61